The following is a GGA-PBE calculation of a geometry-optimized Pm5Pb5O structure, from Alexandria via LeMat-Bulk.

Summary:
N(E_F) = 0.6033 states/eV/atom
size of the total moment = 0.0 μB per cell
energy relative to the elements, uncorrected = -0.6971 eV per atom

Lattice parameters (Å, degrees): 6.0125 6.9872 9.4435 113.01 90.00 115.48
Closest atoms and distances in Å follow each position.
Sites, in units of the cell vectors:
Pm 0.8404 0.6809 0.0944  1 O 2.53
Pm 0.8558 0.7115 0.7293  1 O 2.41
Pm 0.5000 0.0000 0.0000  2 O 3.01, 4 Pb 3.24
Pm 0.1442 0.2885 0.2707  1 O 2.41
Pm 0.1595 0.3191 0.9056  1 O 2.53
Pb 0.7165 0.4330 0.3481  5 Pm 3.13-3.38, 1 Pb 3.23
Pb 0.5849 0.1698 0.7221  5 Pm 3.24-3.60, 3 Pb 3.56-3.57
Pb 0.0000 0.0000 0.5000  6 Pb 3.23-3.56, 4 Pm 3.38-3.47
Pb 0.4151 0.8302 0.2779  5 Pm 3.24-3.60, 3 Pb 3.56-3.57
Pb 0.2835 0.5670 0.6519  5 Pm 3.13-3.38, 1 Pb 3.23
O 0.0000 0.0000 0.0000  4 Pm 2.41-2.53